Record 1
! Na3ZrAu PBE-GGA relaxed; values from VASP
&SYSTEM
  ibrav = 0, nat = 5, ntyp = 3
/
ATOMIC_SPECIES
Na 22.99 Na.upf
Zr 91.22 Zr.upf
Au 196.97 Au.upf
CELL_PARAMETERS angstrom
5.4570 0.0000 0.0000
0.0000 5.4570 0.0000
0.0000 0.0000 5.4570
ATOMIC_POSITIONS crystal
Na 0.0000 0.5000 0.0000
Na 0.5000 0.0000 0.0000
Na 0.0000 0.0000 0.5000
Zr 0.5000 0.5000 0.5000
Au 0.0000 0.0000 0.0000
! E = -2.45 eV per atom
! SG = Pm-3m, No. 221
! ΔH_f (0 K) = 0.71 eV/atom
! N(E_F) = 5.116 states/eV per cell
! E above lowest polymorph = 0 kJ/mol of formula units

Record 2
! Li2Nb4O11 PBE-GGA relaxed; values from VASP
&SYSTEM
  ibrav = 0, nat = 17, ntyp = 3
/
ATOMIC_SPECIES
O 16.00 O.upf
Nb 92.91 Nb.upf
Li 6.94 Li.upf
CELL_PARAMETERS angstrom
8.1581 -0.0063 0.9675
7.2839 3.6743 0.9675
6.6776 1.5862 9.1078
ATOMIC_POSITIONS crystal
O 0.6587 0.6587 0.7663
O 0.5422 0.5422 0.2400
O 0.7850 0.7850 0.0772
O 0.6607 0.6607 0.4111
O 0.3413 0.3413 0.2337
O 0.1561 0.1561 0.6108
O 0.0000 0.0000 0.0000
O 0.3393 0.3393 0.5889
O 0.4578 0.4578 0.7600
O 0.8439 0.8439 0.3892
O 0.2150 0.2150 0.9228
Nb 0.3862 0.3862 0.3865
Nb 0.8306 0.8306 0.1834
Nb 0.1694 0.1694 0.8166
Nb 0.6138 0.6138 0.6135
Li 0.8591 0.8591 0.8527
Li 0.1409 0.1409 0.1473
! E = -8.27 eV per atom
! SG = C2/m, No. 12
! E_form (uncorrected) = -41.9 eV/f.u.
! N(E_F) = 0.000 states/eV per cell
! E above lowest polymorph = 6 kJ/mol of formula units

Record 3
! NiAg2Br PBE-GGA relaxed; values from VASP
&SYSTEM
  ibrav = 0, nat = 4, ntyp = 3
/
ATOMIC_SPECIES
Ag 107.87 Ag.upf
Ni 58.69 Ni.upf
Br 79.90 Br.upf
CELL_PARAMETERS angstrom
1.6461 -4.4067 -0.4157
-0.5636 -3.0748 3.5396
-3.0084 -3.6103 -0.4651
ATOMIC_POSITIONS crystal
Ag 0.2500 0.2500 0.2500
Ag 0.7500 0.7500 0.7500
Ni 0.0000 0.0000 0.0000
Br 0.5000 0.5000 0.5000
! E = -2.74 eV per atom
! SG = Fm-3m, No. 225
! E_form (uncorrected) = 2.2 eV/f.u.
! N(E_F) = 4.020 states/eV per cell
! E above lowest polymorph = 149 kJ/mol of formula units

Record 4
! SrCa2GaH PBE-GGA relaxed; values from VASP
&SYSTEM
  ibrav = 0, nat = 5, ntyp = 4
/
ATOMIC_SPECIES
Ga 69.72 Ga.upf
Sr 87.62 Sr.upf
Ca 40.08 Ca.upf
H 1.01 H.upf
CELL_PARAMETERS angstrom
4.9709 0.0000 0.0000
0.0000 4.9709 0.0000
0.0000 0.0000 5.1211
ATOMIC_POSITIONS crystal
Ga 0.5000 0.5000 0.5000
Sr 0.0000 0.0000 0.5000
Ca 0.0000 0.5000 0.0000
Ca 0.5000 0.0000 0.0000
H 0.0000 0.0000 0.0000
! E = -2.68 eV per atom
! SG = P4/mmm, No. 123
! N(E_F) = 2.281 states/eV per cell

Record 5
! CoCuH2Ir PBE-GGA relaxed; values from VASP
&SYSTEM
  ibrav = 0, nat = 5, ntyp = 4
/
ATOMIC_SPECIES
H 1.01 H.upf
Co 58.93 Co.upf
Ir 192.22 Ir.upf
Cu 63.55 Cu.upf
CELL_PARAMETERS angstrom
3.3527 0.0000 0.0000
0.0000 4.8893 0.0000
0.0000 0.0000 3.3527
ATOMIC_POSITIONS crystal
H 0.0000 0.0000 0.5000
H 0.5000 0.0000 0.0000
Co 0.0000 0.5000 0.0000
Ir 0.5000 0.5000 0.5000
Cu 0.0000 0.0000 0.0000
! E = -4.47 eV per atom
! SG = P4/mmm, No. 123
! N(E_F) = 3.834 states/eV per cell

Record 6
! CsYC PBE-GGA relaxed; values from VASP
&SYSTEM
  ibrav = 0, nat = 6, ntyp = 3
/
ATOMIC_SPECIES
C 12.01 C.upf
Y 88.91 Y.upf
Cs 132.91 Cs.upf
CELL_PARAMETERS angstrom
4.0312 -0.0368 -0.0241
3.2233 6.4561 -0.0002
-1.8789 -5.8864 9.3181
ATOMIC_POSITIONS crystal
C 0.2719 0.3447 0.5315
C 0.1246 0.1868 0.4957
Y 0.8038 0.9579 0.4450
Y 0.5927 0.5737 0.5822
Cs 0.2980 0.3646 0.8484
Cs 0.0958 0.1668 0.1787
! E = -5.34 eV per atom
! SG = P1, No. 1
! ΔH_f (0 K) = 0.18 eV/atom
! N(E_F) = 7.647 states/eV per cell
! E above lowest polymorph = 37 kJ/mol of formula units

Copy entry 6 word for word.
! CsYC PBE-GGA relaxed; values from VASP
&SYSTEM
  ibrav = 0, nat = 6, ntyp = 3
/
ATOMIC_SPECIES
C 12.01 C.upf
Y 88.91 Y.upf
Cs 132.91 Cs.upf
CELL_PARAMETERS angstrom
4.0312 -0.0368 -0.0241
3.2233 6.4561 -0.0002
-1.8789 -5.8864 9.3181
ATOMIC_POSITIONS crystal
C 0.2719 0.3447 0.5315
C 0.1246 0.1868 0.4957
Y 0.8038 0.9579 0.4450
Y 0.5927 0.5737 0.5822
Cs 0.2980 0.3646 0.8484
Cs 0.0958 0.1668 0.1787
! E = -5.34 eV per atom
! SG = P1, No. 1
! ΔH_f (0 K) = 0.18 eV/atom
! N(E_F) = 7.647 states/eV per cell
! E above lowest polymorph = 37 kJ/mol of formula units

- E of number 2 (Li2Nb4O11)?
  -8.27 eV per atom

Copy entry 5 word for word.
! CoCuH2Ir PBE-GGA relaxed; values from VASP
&SYSTEM
  ibrav = 0, nat = 5, ntyp = 4
/
ATOMIC_SPECIES
H 1.01 H.upf
Co 58.93 Co.upf
Ir 192.22 Ir.upf
Cu 63.55 Cu.upf
CELL_PARAMETERS angstrom
3.3527 0.0000 0.0000
0.0000 4.8893 0.0000
0.0000 0.0000 3.3527
ATOMIC_POSITIONS crystal
H 0.0000 0.0000 0.5000
H 0.5000 0.0000 0.0000
Co 0.0000 0.5000 0.0000
Ir 0.5000 0.5000 0.5000
Cu 0.0000 0.0000 0.0000
! E = -4.47 eV per atom
! SG = P4/mmm, No. 123
! N(E_F) = 3.834 states/eV per cell